Record 1
Here is a relaxed Pd4AuSe crystal from Alexandria via LeMat-Bulk. Energies are from GGA-PBE.

The structure in extended XYZ format:
```
12
Lattice="5.332 0.000 0.000 0.003 5.438 0.000 2.657 1.117 7.073" Properties=species:S:1:pos:R:3 pbc="T T T"
Pd 0.501 0.561 1.169
Pd 3.166 3.275 5.905
Pd 1.930 2.689 2.368
Pd 3.399 5.409 2.369
Pd 4.593 1.146 4.704
Pd 6.062 3.866 4.705
Pd 4.826 3.280 1.168
Pd 7.491 5.994 5.905
Au 2.173 4.079 0.001
Au 5.819 2.476 7.072
Se 1.329 0.559 3.537
Se 3.996 3.278 3.537
```

E_form (uncorrected) ... -64 meV/atom
Spin magnetization ... 0.000 μB/f.u.
V ... 205 Å³/cell



Record 2
Here is a relaxed PaBiPdAu crystal from Alexandria via LeMat-Bulk. Energies are from GGA-PBE.

The structure in extended XYZ format:
```
16
Lattice="7.101 0.000 0.000 0.000 7.101 0.000 0.000 0.000 7.101" Properties=species:S:1:pos:R:3 pbc="T T T"
Pa 0.000 0.000 0.000
Pa 0.000 3.551 3.551
Pa 3.551 0.000 3.551
Pa 3.551 3.551 0.000
Bi 0.000 0.000 3.551
Bi 0.000 3.551 0.000
Bi 3.551 0.000 0.000
Bi 3.551 3.551 3.551
Pd 1.775 1.775 5.326
Pd 1.775 5.326 1.775
Pd 5.326 1.775 1.775
Pd 5.326 5.326 5.326
Au 1.775 1.775 1.775
Au 1.775 5.326 5.326
Au 5.326 1.775 5.326
Au 5.326 5.326 1.775
```

Spin magnetization ... 0.379 μB/f.u.
Energy relative to the elements ... -0.367 eV/atom
V ... 358 Å³/cell



Record 3
Here is a relaxed Ba2MgPaS5 crystal from Alexandria via LeMat-Bulk. Energies are from GGA-PBE.

The structure in extended XYZ format:
```
18
Lattice="2.103 -8.979 0.000 2.103 8.979 0.000 0.000 0.000 13.076" Properties=species:S:1:pos:R:3 pbc="T T T"
Ba 2.103 7.064 6.538
Ba 2.103 6.692 1.663
Ba 2.103 -6.692 8.201
Ba 2.103 -7.064 0.000
Mg 2.103 0.897 3.421
Mg 2.103 -0.897 9.959
Pa 2.103 5.235 10.886
Pa 2.103 -5.235 4.348
S 2.103 7.955 11.239
S 2.103 3.843 6.136
S 2.103 3.405 2.548
S 2.103 2.585 10.690
S 2.103 0.045 7.771
S 2.103 -0.045 1.233
S 2.103 -2.585 4.152
S 2.103 -3.405 9.086
S 2.103 -3.843 12.674
S 2.103 -7.955 4.701
```

E_form (uncorrected) ... -1793 meV/atom
Spin magnetization ... 0.997 μB/f.u.
V ... 494 Å³/cell



Record 4
Here is a relaxed GeBiN2F crystal from Alexandria via LeMat-Bulk. Energies are from GGA-PBE.

The structure in extended XYZ format:
```
5
Lattice="4.355 0.000 0.000 0.000 4.355 0.000 0.000 0.000 4.368" Properties=species:S:1:pos:R:3 pbc="T T T"
Ge 0.000 0.000 0.000
Bi 2.178 2.178 2.184
N 0.000 2.178 2.184
N 2.178 0.000 2.184
F 2.178 2.178 0.000
```

E_form (uncorrected) ... 741 meV/atom
Spin magnetization ... 0.000 μB/f.u.
V ... 83 Å³/cell



Record 5
Here is a relaxed Er2Zn5Ru2Au crystal from Alexandria via LeMat-Bulk. Energies are from GGA-PBE.

The structure in extended XYZ format:
```
20
Lattice="9.431 0.000 0.000 0.000 9.431 0.000 0.000 0.000 3.979" Properties=species:S:1:pos:R:3 pbc="T T T"
Er 1.651 3.064 0.000
Er 3.064 7.780 0.000
Er 6.367 1.651 0.000
Er 7.780 6.367 0.000
Zn 0.000 4.715 1.989
Zn 0.562 7.520 1.989
Zn 1.911 0.562 1.989
Zn 2.805 5.277 1.989
Zn 4.154 2.805 1.989
Zn 4.715 0.000 1.989
Zn 5.277 6.626 1.989
Zn 6.626 4.154 1.989
Zn 7.520 8.869 1.989
Zn 8.869 1.911 1.989
Ru 1.168 5.883 0.000
Ru 3.547 1.168 0.000
Ru 5.883 8.263 0.000
Ru 8.263 3.547 0.000
Au 0.000 0.000 0.000
Au 4.715 4.715 0.000
```

Spin magnetization ... 0.000 μB/f.u.
Energy relative to the elements ... -0.237 eV/atom
V ... 354 Å³/cell



Record 6
Here is a relaxed Zn2Te crystal from Alexandria via LeMat-Bulk. Energies are from GGA-PBE.

The structure in extended XYZ format:
```
12
Lattice="4.015 0.000 0.000 0.000 16.367 0.000 0.000 0.000 4.114" Properties=species:S:1:pos:R:3 pbc="T T T"
Zn 0.000 0.870 1.028
Zn 0.000 7.136 1.028
Zn 0.000 9.231 3.085
Zn 0.000 15.497 3.085
Zn 2.007 1.047 3.085
Zn 2.007 7.314 3.085
Zn 2.007 9.053 1.028
Zn 2.007 15.319 1.028
Te 0.000 5.354 3.085
Te 0.000 11.012 1.028
Te 2.007 2.829 1.028
Te 2.007 13.538 3.085
```

E_form (uncorrected) ... -62 meV/atom
Spin magnetization ... 0.000 μB/f.u.
V ... 270 Å³/cell



Record 7
Here is a relaxed TiBeRe crystal from Alexandria via LeMat-Bulk. Energies are from GGA-PBE.

The structure in extended XYZ format:
```
18
Lattice="11.459 0.000 0.000 0.000 3.123 0.000 0.000 0.000 6.642" Properties=species:S:1:pos:R:3 pbc="T T T"
Ti 0.657 0.000 1.594
Ti 2.865 0.000 4.436
Ti 5.072 0.000 1.594
Ti 6.387 0.000 5.048
Ti 8.594 0.000 2.206
Ti 10.802 0.000 5.048
Be 1.018 1.561 3.705
Be 2.865 0.000 0.349
Be 4.712 1.561 3.705
Be 6.747 1.561 2.937
Be 8.594 0.000 6.293
Be 10.442 1.561 2.937
Re 1.355 1.561 6.123
Re 2.865 1.561 2.087
Re 4.375 1.561 6.123
Re 7.085 1.561 0.519
Re 8.594 1.561 4.555
Re 10.104 1.561 0.519
```

Spin magnetization ... 0.000 μB/f.u.
Energy relative to the elements ... -0.263 eV/atom
V ... 238 Å³/cell



Record 8
Here is a relaxed TmPu2W2C4 crystal from Alexandria via LeMat-Bulk. Energies are from GGA-PBE.

The structure in extended XYZ format:
```
9
Lattice="8.121 -1.670 0.000 8.121 1.670 0.000 -0.379 0.000 5.663" Properties=species:S:1:pos:R:3 pbc="T T T"
Tm 0.000 0.000 0.000
Pu 2.252 0.000 3.247
Pu 13.611 0.000 2.416
W 4.776 0.000 5.331
W 11.087 0.000 0.332
C 3.777 0.000 1.320
C 6.674 0.000 0.939
C 9.190 0.000 4.724
C 12.086 0.000 4.344
```

Spin magnetization ... 10.546 μB/f.u.
Energy relative to the elements ... 0.072 eV/atom
V ... 154 Å³/cell



Record 9
Here is a relaxed Tm4IrSeS2 crystal from Alexandria via LeMat-Bulk. Energies are from GGA-PBE.

The structure in extended XYZ format:
```
8
Lattice="6.930 0.000 0.000 0.000 3.883 0.000 -2.208 0.000 6.588" Properties=species:S:1:pos:R:3 pbc="T T T"
Tm 1.058 0.000 1.628
Tm -0.030 1.942 4.886
Tm 4.752 1.942 1.701
Tm 3.663 0.000 4.960
Ir -1.104 0.000 3.294
Se 2.361 1.942 3.294
S 0.000 1.942 0.000
S 3.465 0.000 0.000
```

E_form (uncorrected) ... -1566 meV/atom
Spin magnetization ... 0.000 μB/f.u.
V ... 177 Å³/cell



Record 10
Here is a relaxed PmZn2Ag crystal from Alexandria via LeMat-Bulk. Energies are from GGA-PBE.

The structure in extended XYZ format:
```
4
Lattice="3.385 0.000 0.000 0.000 3.385 0.000 0.000 0.000 7.018" Properties=species:S:1:pos:R:3 pbc="T T T"
Pm 0.000 0.000 0.000
Zn 1.692 1.692 2.065
Zn 1.692 1.692 4.953
Ag 0.000 0.000 3.509
```

Spin magnetization ... 0.003 μB/f.u.
Energy relative to the elements ... -0.161 eV/atom
V ... 80 Å³/cell



Record 11
Here is a relaxed FeI2Cl crystal from Alexandria via LeMat-Bulk. Energies are from GGA-PBE.

The structure in extended XYZ format:
```
16
Lattice="6.990 0.000 0.000 0.000 6.376 0.000 0.000 0.000 11.312" Properties=species:S:1:pos:R:3 pbc="T T T"
Fe 1.747 0.000 1.195
Fe 1.747 3.188 4.461
Fe 5.242 0.000 10.117
Fe 5.242 3.188 6.851
I 0.514 1.488 10.424
I 0.514 1.700 6.544
I 2.981 4.676 6.544
I 2.981 4.889 10.424
I 4.009 1.488 0.888
I 4.009 1.700 4.768
I 6.476 4.676 4.768
I 6.476 4.889 0.888
Cl 0.914 1.594 2.828
Cl 2.581 4.782 2.828
Cl 4.409 1.594 8.484
Cl 6.076 4.782 8.484
```

E_form (uncorrected) ... -242 meV/atom
Spin magnetization ... 4.656 μB/f.u.
V ... 504 Å³/cell



Record 12
Here is a relaxed CuAu3S crystal from Alexandria via LeMat-Bulk. Energies are from GGA-PBE.

The structure in extended XYZ format:
```
5
Lattice="4.783 0.000 0.000 0.000 4.783 0.000 0.000 0.000 4.783" Properties=species:S:1:pos:R:3 pbc="T T T"
Cu 0.000 0.000 0.000
Au 0.000 2.391 2.391
Au 2.391 0.000 2.391
Au 2.391 2.391 0.000
S 2.391 2.391 2.391
```

E_form (uncorrected) ... 726 meV/atom
Spin magnetization ... 0.000 μB/f.u.
V ... 109 Å³/cell